Entry one
Below is K2Sn2Cl7 after structural relaxation, with properties calculated at the GGA-PBE level.

POSCAR file:
```
K2Sn2Cl7
1.0
-2.168 7.658 4.889
2.168 -7.658 4.889
2.168 7.658 -4.889
K Sn Cl
2 2 7
Direct
0.232 0.000 0.232
0.768 0.000 0.768
0.309 0.309 0.000
0.742 0.242 0.500
0.123 0.726 0.397
0.328 0.726 0.603
0.402 0.509 0.893
0.615 0.509 0.107
0.616 0.294 0.322
0.916 0.916 0.000
0.972 0.294 0.678
```

- Total moment: 0.000 μB per cell
- DOS(E_F): 4.1 states/eV per cell
- Density: 2.88 g/cm3

***

Entry two
Below is K2Sn2Cl7 after structural relaxation, with properties calculated at the GGA-PBE level.

POSCAR file:
```
K2Sn2Cl7
1.0
4.543 -5.119 0.000
4.543 5.119 0.000
0.000 0.000 7.352
K Sn Cl
2 2 7
Direct
0.245 0.245 0.000
0.755 0.755 0.000
0.275 0.725 0.500
0.725 0.275 0.500
0.000 0.000 0.500
0.000 0.500 0.260
0.000 0.500 0.740
0.500 0.000 0.260
0.500 0.000 0.740
0.500 0.500 0.280
0.500 0.500 0.720
```

- Total moment: 0.000 μB per cell
- DOS(E_F): 5.6 states/eV per cell
- Density: 2.74 g/cm3

***

Of them, entry one has the highest stability.

***

Entry one
Below is K2Sn3Cl8 after structural relaxation, with properties calculated at the GGA-PBE level.

POSCAR file:
```
K2Sn3Cl8
1.0
7.716 -4.283 0.000
7.716 4.283 0.000
-2.428 0.000 6.894
K Sn Cl
2 3 8
Direct
0.230 0.230 0.160
0.770 0.770 0.840
0.241 0.759 0.500
0.500 0.500 0.000
0.759 0.241 0.500
0.108 0.108 0.441
0.159 0.616 0.103
0.384 0.841 0.897
0.389 0.389 0.592
0.611 0.611 0.408
0.616 0.159 0.103
0.841 0.384 0.897
0.892 0.892 0.559
```

- Total moment: 0.000 μB per cell
- DOS(E_F): 0.0 states/eV per cell
- Density: 2.62 g/cm3

***

Entry two
Below is K2Sn3Cl8 after structural relaxation, with properties calculated at the GGA-PBE level.

POSCAR file:
```
K2Sn3Cl8
1.0
7.220 -4.347 0.000
7.220 4.347 0.000
-0.314 0.000 7.241
K Sn Cl
2 3 8
Direct
0.220 0.220 0.020
0.780 0.780 0.980
0.244 0.756 0.500
0.500 0.500 0.000
0.756 0.244 0.500
0.105 0.105 0.377
0.159 0.611 0.166
0.385 0.385 0.673
0.389 0.841 0.834
0.611 0.159 0.166
0.615 0.615 0.327
0.841 0.389 0.834
0.895 0.895 0.623
```

- Total moment: 0.000 μB per cell
- DOS(E_F): 0.0 states/eV per cell
- Density: 2.62 g/cm3

***

Of them, entry one has the highest stability.

***

Entry one
Below is KSn2Cl5 after structural relaxation, with properties calculated at the GGA-PBE level.

POSCAR file:
```
KSn2Cl5
1.0
-4.044 4.044 7.176
4.044 -4.044 7.176
4.044 4.044 -7.176
K Sn Cl
2 4 10
Direct
0.250 0.250 0.000
0.750 0.750 0.000
0.175 0.675 0.850
0.325 0.175 0.500
0.675 0.825 0.500
0.825 0.325 0.150
0.000 0.000 0.000
0.035 0.200 0.500
0.200 0.700 0.165
0.300 0.465 0.500
0.465 0.965 0.165
0.500 0.500 0.000
0.535 0.035 0.835
0.700 0.535 0.500
0.800 0.300 0.835
0.965 0.800 0.500
```

- Total moment: 0.000 μB per cell
- DOS(E_F): 0.0 states/eV per cell
- Density: 3.21 g/cm3

***

Entry two
Below is KSn2Cl5 after structural relaxation, with properties calculated at the GGA-PBE level.

POSCAR file:
```
KSn2Cl5
1.0
10.964 0.000 0.000
0.000 7.422 0.000
-4.646 0.000 13.941
K Sn Cl
4 8 20
Direct
0.000 0.000 0.000
0.000 0.500 0.500
0.500 0.000 0.000
0.500 0.500 0.500
0.123 0.039 0.383
0.123 0.461 0.883
0.330 0.556 0.194
0.330 0.944 0.694
0.670 0.056 0.306
0.670 0.444 0.806
0.877 0.539 0.117
0.877 0.961 0.617
0.068 0.738 0.689
0.068 0.762 0.189
0.141 0.156 0.560
0.141 0.344 0.060
0.274 0.218 0.859
0.274 0.282 0.359
0.300 0.749 0.542
0.300 0.751 0.042
0.494 0.676 0.827
0.494 0.824 0.327
0.506 0.176 0.673
0.506 0.324 0.173
0.700 0.249 0.958
0.700 0.251 0.458
0.726 0.718 0.641
0.726 0.782 0.141
0.859 0.656 0.940
0.859 0.844 0.440
0.932 0.238 0.811
0.932 0.262 0.311
```

- Total moment: 0.000 μB per cell
- DOS(E_F): 0.0 states/eV per cell
- Density: 2.66 g/cm3

***

Of them, entry one has the highest stability.

***

Entry one
Below is K2SrCl after structural relaxation, with properties calculated at the GGA-PBE level.

POSCAR file:
```
K2SrCl
1.0
3.983 0.000 0.000
0.000 3.983 0.000
0.000 0.000 11.231
K Sr Cl
2 1 1
Direct
0.000 0.000 0.165
0.000 0.000 0.835
0.500 0.500 0.500
0.500 0.500 0.000
```

- Total moment: 0.000 μB per cell
- DOS(E_F): 2.4 states/eV per cell
- Density: 1.88 g/cm3

***

Entry two
Below is K2SrCl after structural relaxation, with properties calculated at the GGA-PBE level.

POSCAR file:
```
K2SrCl
1.0
7.477 -2.068 0.000
7.477 2.068 0.000
-3.839 0.000 6.562
K Sr Cl
2 1 1
Direct
0.000 0.000 0.000
0.169 0.169 0.653
0.819 0.819 0.310
0.469 0.469 0.320
```

- Total moment: 0.000 μB per cell
- DOS(E_F): 2.5 states/eV per cell
- Density: 1.65 g/cm3

***

Of them, entry one has the highest stability.

***

Entry one
Below is KSrCl after structural relaxation, with properties calculated at the GGA-PBE level.

POSCAR file:
```
KSrCl
1.0
0.000 3.755 8.179
2.153 0.000 8.179
2.153 3.755 0.000
K Sr Cl
1 1 1
Direct
0.000 0.000 0.000
0.726 0.726 0.274
0.355 0.355 0.645
```

- Total moment: 0.003 μB per cell
- DOS(E_F): 2.1 states/eV per cell
- Density: 2.04 g/cm3

***

Entry two
Below is KSrCl after structural relaxation, with properties calculated at the GGA-PBE level.

POSCAR file:
```
KSrCl
1.0
4.303 0.000 0.000
-2.151 3.726 0.000
0.000 0.000 7.824
K Sr Cl
1 1 1
Direct
0.000 0.000 0.000
0.667 0.333 0.464
0.333 0.667 0.720
```

- Total moment: 0.131 μB per cell
- DOS(E_F): 1.7 states/eV per cell
- Density: 2.15 g/cm3

***

Of them, entry two has the highest stability.

***

Entry one
Below is KSrCl after structural relaxation, with properties calculated at the GGA-PBE level.

POSCAR file:
```
KSrCl
1.0
5.036 0.000 0.000
0.000 5.036 0.000
0.000 0.000 11.468
K Sr Cl
2 2 2
Direct
0.250 0.250 0.101
0.750 0.750 0.899
0.250 0.250 0.645
0.750 0.750 0.355
0.250 0.750 0.500
0.750 0.250 0.500
```

- Total moment: 0.000 μB per cell
- DOS(E_F): 3.7 states/eV per cell
- Density: 1.85 g/cm3

***

Entry two
Below is KSrCl after structural relaxation, with properties calculated at the GGA-PBE level.

POSCAR file:
```
KSrCl
1.0
-1.975 1.975 7.650
1.975 -1.975 7.650
1.975 1.975 -7.650
K Sr Cl
1 1 1
Direct
0.000 0.000 0.000
0.276 0.276 0.000
0.656 0.656 0.000
```

- Total moment: 0.000 μB per cell
- DOS(E_F): 1.5 states/eV per cell
- Density: 2.26 g/cm3

***

Entry three
Below is KSrCl after structural relaxation, with properties calculated at the GGA-PBE level.

POSCAR file:
```
KSrCl
1.0
0.000 3.869 3.869
3.869 0.000 3.869
3.869 3.869 0.000
K Sr Cl
1 1 1
Direct
0.000 0.000 0.000
0.500 0.500 0.500
0.250 0.250 0.250
```

- Total moment: 0.000 μB per cell
- Density: 2.32 g/cm3

***

Of them, entry one has the highest stability.